(1)
Compound: BC
Source: Alexandria via LeMat-Bulk
Functional: PBE
Structure: relaxed

abc: 5.9748 5.8816 3.5757
angles: 87.75 91.33 139.78
With the nearest neighbours (Å) after each atom.
Fractional coordinates of all 12 atoms:
C (0.3106, 0.1675, 0.7483)  1 C 1.54, 3 B 1.60-1.64
C (0.6936, 0.8536, 0.7461)  2 C 1.50-1.51, 1 B 1.61
C (0.9859, 0.9799, 0.9761)  3 C 1.51-1.54, 1 B 1.68
C (0.8096, 0.1450, 0.5079)  2 C 1.50, 2 B 1.57-1.62
C (0.5240, 0.0134, 0.2638)  1 C 1.50, 2 B 1.59-1.60
C (0.8569, 0.6874, 0.2377)  1 C 1.52, 3 B 1.61-1.68
B (0.0309, 0.4749, 0.7573)  1 C 1.57, 1 B 1.74
B (0.1074, 0.3003, 0.2147)  2 C 1.62-1.68, 1 B 1.67
B (0.5973, 0.3078, 0.0455)  3 C 1.60-1.63
B (0.1756, 0.8526, 0.4979)  3 C 1.61-1.71
B (0.5111, 0.5103, 0.4768)  3 C 1.63-1.71
B (0.3970, 0.7073, 0.0278)  2 C 1.59-1.61, 2 B 1.67-1.74

Results
The calculated density comes out at 2.80 Mg/m³. Its formation energy is 34.5 kJ/mol of atoms. The calculated volume is 6.8 A^3/atom. For the total moment, the calculation gives 0.0 μB/cell. As for the total energy: -91.116 eV/cell. Its distance to the lowest polymorph of the same formula is 0.207 eV per atom.



(2)
Compound: B3C
Source: Alexandria via LeMat-Bulk
Functional: PBE
Structure: relaxed

abc: 6.2614 6.2614 5.4702
angles: 83.47 83.47 24.33
With the nearest neighbours (Å) after each atom.
Fractional coordinates of all 12 atoms:
B (0.2024, 0.2024, 0.3050)  2 C 1.60, 2 B 1.67-1.79
B (0.9425, 0.9425, 0.6384)  3 B 1.66-1.82
B (0.8170, 0.8170, 0.7919)  4 B 1.66-1.83
B (0.3401, 0.3401, 0.2698)  1 C 1.53, 1 B 1.67
B (0.6634, 0.6634, 0.7488)  2 C 1.58
B (0.7748, 0.7748, 0.4854)  1 C 1.63, 1 B 1.81
B (0.5152, 0.5152, 0.4559)  2 C 1.61-1.66
B (0.2464, 0.2464, 0.9817)  1 C 1.65, 3 B 1.79-1.83
B (0.0140, 0.0140, 0.0665)  3 C 1.55-1.57
C (0.4641, 0.4641, 0.1882)  4 B 1.53-1.66
C (0.6472, 0.6472, 0.4290)  5 B 1.60-1.78
C (0.1228, 0.1228, 0.8893)  4 B 1.55-1.65

Results
The calculated density comes out at 2.52 Mg/m³. Its formation energy is 32.5 kJ/mol of atoms. The calculated volume is 7.3 A^3/atom. For the total moment, the calculation gives 0.0 μB/cell. As for the total energy: -83.732 eV/cell. Its distance to the lowest polymorph of the same formula is 0.096 eV per atom.



(3)
Compound: BC
Source: Alexandria via LeMat-Bulk
Functional: PBE
Structure: relaxed

abc: 4.7615 4.7615 7.9384
angles: 116.41 116.41 30.65
With the nearest neighbours (Å) after each atom.
Fractional coordinates of all 12 atoms:
C (0.8241, 0.8241, 0.5302)  1 C 1.47, 1 B 1.64
C (0.6759, 0.6759, 0.3448)  1 C 1.47, 1 B 1.64
C (0.6704, 0.6704, 0.8304)  3 C 1.52-1.65, 1 B 1.57
C (0.3317, 0.3317, 0.1541)  2 C 1.52, 2 B 1.61-1.63
C (0.8296, 0.8296, 0.0446)  3 C 1.52-1.65, 1 B 1.57
C (0.1683, 0.1683, 0.7209)  2 C 1.52, 2 B 1.61-1.63
B (0.5257, 0.5257, 0.8829)  1 C 1.57, 2 B 1.71
B (0.1886, 0.1886, 0.2174)  3 C 1.61-1.65
B (0.3114, 0.3114, 0.6576)  3 C 1.61-1.65
B (0.9743, 0.9743, 0.9921)  1 C 1.57, 2 B 1.71
B (0.5011, 0.5011, 0.3527)  2 C 1.63-1.64
B (0.9989, 0.9989, 0.5223)  2 C 1.63-1.64

Results
The calculated density comes out at 2.79 Mg/m³. Its formation energy is 40.8 kJ/mol of atoms. The calculated volume is 6.8 A^3/atom. For the total moment, the calculation gives 0.0 μB/cell. As for the total energy: -90.331 eV/cell. Its distance to the lowest polymorph of the same formula is 0.272 eV per atom.



(4)
Compound: BC
Source: Alexandria via LeMat-Bulk
Functional: PBE
Structure: relaxed

abc: 6.5907 6.5907 5.2630
angles: 103.27 103.27 23.04
With the nearest neighbours (Å) after each atom.
Fractional coordinates of all 12 atoms:
B (0.0269, 0.0269, 0.9142)  3 C 1.55-1.62
B (0.5991, 0.5991, 0.5365)  2 C 1.59-1.64
B (0.8846, 0.8846, 0.2651)  2 C 1.55, 1 B 1.70
B (0.2253, 0.2253, 0.2994)  3 C 1.57-1.59
B (0.3536, 0.3536, 0.7715)  3 C 1.54-1.60
B (0.9904, 0.9904, 0.5272)  1 C 1.69, 1 B 1.70
C (0.9121, 0.9121, 0.7422)  4 B 1.54-1.69
C (0.5982, 0.5982, 0.0127)  2 C 1.56-1.58, 2 B 1.62
C (0.3250, 0.3250, 0.1712)  3 B 1.55-1.59, 1 C 1.64
C (0.6784, 0.6784, 0.8288)  3 C 1.58, 1 B 1.64
C (0.2473, 0.2473, 0.8763)  3 C 1.58-1.64, 1 B 1.60
C (0.6591, 0.6591, 0.3051)  1 C 1.56, 3 B 1.57-1.59

Results
The calculated density comes out at 2.61 Mg/m³. Its formation energy is 32.8 kJ/mol of atoms. The calculated volume is 7.2 A^3/atom. For the total moment, the calculation gives 0.0 μB/cell. As for the total energy: -91.323 eV/cell. Its distance to the lowest polymorph of the same formula is 0.190 eV per atom.



(5)
Compound: BC
Source: Alexandria via LeMat-Bulk
Functional: PBE
Structure: relaxed

abc: 2.5439 2.5439 14.3104
angles: 90.00 90.00 120.00
With the nearest neighbours (Å) after each atom.
Fractional coordinates of all 12 atoms:
B (0.6667, 0.3333, 0.1952)  3 C 1.64, 1 B 1.70
B (0.0000, 0.0000, 0.3945)  4 B 1.70-1.87
B (0.6667, 0.3333, 0.3139)  4 B 1.70-1.87
B (0.0000, 0.0000, 0.5131)  3 C 1.64, 1 B 1.70
B (0.6667, 0.3333, 0.8173)  1 C 1.57
B (0.0000, 0.0000, 0.8910)  1 C 1.57
C (0.3333, 0.6667, 0.0393)  4 C 1.50-1.57
C (0.3333, 0.6667, 0.1438)  1 C 1.50, 3 B 1.64
C (0.3333, 0.6667, 0.5645)  1 C 1.50, 3 B 1.64
C (0.3333, 0.6667, 0.6691)  4 C 1.50-1.57
C (0.6667, 0.3333, 0.7073)  3 C 1.57, 1 B 1.57
C (0.0000, 0.0000, 0.0010)  3 C 1.57, 1 B 1.57

Results
The calculated density comes out at 2.84 Mg/m³. Its formation energy is 44.8 kJ/mol of atoms. The calculated volume is 6.7 A^3/atom. For the total moment, the calculation gives 0.0 μB/cell. As for the total energy: -89.833 eV/cell. Its distance to the lowest polymorph of the same formula is 0.314 eV per atom.



(6)
Compound: B3C2
Source: Alexandria via LeMat-Bulk
Functional: PBE
Structure: relaxed

abc: 7.9066 7.9066 7.9066
angles: 160.98 152.61 33.57
With the nearest neighbours (Å) after each atom.
Fractional coordinates of all 10 atoms:
B (0.8463, 0.8232, 0.0231)  1 C 1.57, 1 B 1.74
B (0.1999, 0.1768, 0.0231)  1 C 1.57, 1 B 1.74
B (0.3823, 0.4276, 0.9547)  3 C 1.56-1.58
B (0.0206, 0.7295, 0.2911)  3 B 1.74-1.76
B (0.5616, 0.2705, 0.2911)  3 B 1.74-1.76
B (0.5271, 0.5724, 0.9547)  3 C 1.56-1.58
C (0.1470, 0.9125, 0.2345)  3 B 1.56-1.57, 1 C 1.62
C (0.9841, 0.0000, 0.9841)  4 C 1.56-1.62
C (0.3220, 0.0875, 0.2345)  3 B 1.56-1.57, 1 C 1.62
C (0.7589, 0.5000, 0.2589)  2 C 1.56, 2 B 1.58

Results
The calculated density comes out at 2.53 Mg/m³. Its formation energy is 48.0 kJ/mol of atoms. The calculated volume is 7.4 A^3/atom. For the total moment, the calculation gives 0.0 μB/cell. As for the total energy: -71.982 eV/cell. Its distance to the lowest polymorph of the same formula is 0.287 eV per atom.



(7)
Compound: B3C2
Source: Alexandria via LeMat-Bulk
Functional: PBE
Structure: relaxed

abc: 4.7093 4.7093 6.9549
angles: 60.21 60.21 33.63
With the nearest neighbours (Å) after each atom.
Fractional coordinates of all 10 atoms:
B (0.7839, 0.7839, 0.1288)  2 C 1.53
B (0.1994, 0.1994, 0.4218)  1 C 1.57
B (0.8032, 0.8032, 0.7302)  3 C 1.57-1.60
B (0.4172, 0.4172, 0.3961)  3 C 1.62-1.63
B (0.0253, 0.0253, 0.9948)  3 C 1.60-1.64
B (0.5844, 0.5844, 0.6365)  2 C 1.58-1.63
C (0.1950, 0.1950, 0.1992)  3 B 1.53-1.57, 1 C 1.66
C (0.4024, 0.4024, 0.6386)  4 B 1.57-1.63
C (0.5955, 0.5955, 0.8553)  4 B 1.58-1.60
C (0.9937, 0.9937, 0.2487)  3 B 1.63-1.64, 1 C 1.66

Results
The calculated density comes out at 2.57 Mg/m³. Its formation energy is 40.5 kJ/mol of atoms. The calculated volume is 7.3 A^3/atom. For the total moment, the calculation gives 0.0 μB/cell. As for the total energy: -72.765 eV/cell. Its distance to the lowest polymorph of the same formula is 0.209 eV per atom.



(8)
Compound: BC
Source: Alexandria via LeMat-Bulk
Functional: PBE
Structure: relaxed

abc: 7.1787 7.1800 7.1800
angles: 158.71 142.25 43.75
With the nearest neighbours (Å) after each atom.
Fractional coordinates of all 12 atoms:
B (0.6528, 0.9846, 0.6682)  3 C 1.57-1.61
B (0.0718, 0.1182, 0.9535)  3 C 1.61-1.64
B (0.6437, 0.6138, 0.0299)  2 C 1.60-1.66
B (0.9938, 0.3354, 0.6585)  4 C 1.61-1.70
B (0.5193, 0.1802, 0.3391)  1 C 1.52
B (0.4751, 0.8086, 0.6665)  3 C 1.55-1.57
C (0.0168, 0.6742, 0.3426)  1 C 1.49, 3 B 1.61-1.66
C (0.0106, 0.9969, 0.0137)  2 C 1.58, 2 B 1.61-1.64
C (0.6266, 0.2944, 0.3321)  4 B 1.52-1.61
C (0.1217, 0.7862, 0.3355)  1 C 1.49, 1 B 1.57
C (0.4852, 0.4945, 0.9906)  1 C 1.55, 3 B 1.57-1.60
C (0.1328, 0.4630, 0.6698)  3 C 1.55-1.58, 1 B 1.70

Results
The calculated density comes out at 2.77 Mg/m³. Its formation energy is 30.5 kJ/mol of atoms. The calculated volume is 6.8 A^3/atom. For the total moment, the calculation gives 0.0 μB/cell. As for the total energy: -91.611 eV/cell. Its distance to the lowest polymorph of the same formula is 0.166 eV per atom.



(9)
Compound: BC
Source: Alexandria via LeMat-Bulk
Functional: PBE
Structure: relaxed

abc: 2.4820 4.9307 6.6157
angles: 88.12 90.00 90.00
With the nearest neighbours (Å) after each atom.
Fractional coordinates of all 12 atoms:
B (0.0000, 0.9683, 0.0081)  4 C 1.63-1.70
B (0.5000, 0.1580, 0.6707)  2 C 1.59-1.60
B (0.5000, 0.4732, 0.9576)  3 C 1.54-1.61
B (0.0000, 0.4060, 0.5602)  1 C 1.64
B (0.5000, 0.5140, 0.3287)  1 C 1.59, 2 B 1.72
B (0.0000, 0.2771, 0.2942)  1 C 1.54
C (0.5000, 0.1689, 0.9114)  4 B 1.54-1.70
C (0.0000, 0.9702, 0.2590)  2 C 1.53, 2 B 1.54-1.66
C (0.5000, 0.8331, 0.3510)  3 C 1.53-1.58, 1 B 1.59
C (0.5000, 0.8569, 0.5879)  3 C 1.54-1.58, 1 B 1.60
C (0.0000, 0.6723, 0.9038)  1 C 1.57, 3 B 1.61-1.63
C (0.0000, 0.7020, 0.6674)  3 C 1.54-1.57, 1 B 1.64

Results
The calculated density comes out at 2.81 Mg/m³. Its formation energy is 38.1 kJ/mol of atoms. The calculated volume is 6.7 A^3/atom. For the total moment, the calculation gives 0.0 μB/cell. As for the total energy: -90.675 eV/cell. Its distance to the lowest polymorph of the same formula is 0.244 eV per atom.



(10)
Compound: BC
Source: Alexandria via LeMat-Bulk
Functional: PBE
Structure: relaxed

abc: 2.5605 2.5605 14.1058
angles: 90.00 90.00 120.00
With the nearest neighbours (Å) after each atom.
Fractional coordinates of all 12 atoms:
C (0.3333, 0.6667, 0.1535)  4 C 1.56-1.58
C (0.6667, 0.3333, 0.1888)  3 C 1.56, 1 B 1.59
C (0.3333, 0.6667, 0.0412)  4 C 1.55-1.58
C (0.6667, 0.3333, 0.8438)  4 B 1.54-1.62
C (0.3333, 0.6667, 0.5502)  4 B 1.54-1.64
C (0.0000, 0.0000, 0.0074)  3 C 1.55, 1 B 1.64
B (0.0000, 0.0000, 0.3789)  4 B 1.70-1.84
B (0.0000, 0.0000, 0.8913)  4 C 1.62-1.64
B (0.0000, 0.0000, 0.4994)  3 C 1.64, 1 B 1.70
B (0.3333, 0.6667, 0.6595)  1 C 1.54
B (0.6667, 0.3333, 0.3013)  1 C 1.59
B (0.6667, 0.3333, 0.7345)  1 C 1.54

Results
The calculated density comes out at 2.84 Mg/m³. Its formation energy is 40.2 kJ/mol of atoms. The calculated volume is 6.7 A^3/atom. For the total moment, the calculation gives 0.0 μB/cell. As for the total energy: -90.403 eV/cell. Its distance to the lowest polymorph of the same formula is 0.266 eV per atom.